# PBE SrEr2MoN4, relaxed
# total DFT energy (no corrections)	-255.2	eV for the cell shown
# calculated volume	15.48	Å³ per atom
data_SrEr2MoN4
_chemical_formula_sum 'Sr4 Er8 Mo4 N16'
_cell_length_a 3.391
_cell_length_b 12.104
_cell_length_c 12.069
_cell_angle_alpha 90.00
_cell_angle_beta 90.00
_cell_angle_gamma 90.00
_space_group_name_H-M_alt 'C m c m'
_space_group_IT_number 63
_space_group_name_Hall '-C 2c 2'
loop_
_atom_site_label
_atom_site_fract_x
_atom_site_fract_y
_atom_site_fract_z
Sr1 0.000 0.077 0.250
Er1 0.000 0.372 0.039
Mo1 0.000 0.185 0.750
N1 0.000 0.000 0.000
N2 0.000 0.260 0.613
N3 0.000 0.415 0.250


# PBE CaIrO3, relaxed
# total DFT energy (no corrections)	-136.4	eV for the cell shown
# calculated volume	11.68	Å³ per atom
data_CaIrO3
_chemical_formula_sum 'Ca4 Ir4 O12'
_cell_length_a 3.214
_cell_length_b 9.876
_cell_length_c 7.362
_cell_angle_alpha 90.00
_cell_angle_beta 90.00
_cell_angle_gamma 90.00
_space_group_name_H-M_alt 'C m c m'
_space_group_IT_number 63
_space_group_name_Hall '-C 2c 2'
loop_
_atom_site_label
_atom_site_fract_x
_atom_site_fract_y
_atom_site_fract_z
Ca1 0.000 0.249 0.250
Ir1 0.000 0.000 0.000
O1 0.000 0.078 0.750
O2 0.000 0.375 0.550


# PBE Li2TmAg2Pb2, relaxed
# E_form	-0.239	eV per atom
# total DFT energy (no corrections)	-69.3	eV for the cell shown
# calculated volume	21.76	Å³ per atom
data_Li2TmAg2Pb2
_chemical_formula_sum 'Li6 Tm3 Ag6 Pb6'
_cell_length_a 4.7676
_cell_length_b 4.7676
_cell_length_c 23.2177
_cell_angle_alpha 90.00
_cell_angle_beta 90.00
_cell_angle_gamma 120.00
_space_group_name_H-M_alt 'R -3 m'
_space_group_IT_number 166
_space_group_name_Hall '-R 3 2"'
loop_
_atom_site_label
_atom_site_fract_x
_atom_site_fract_y
_atom_site_fract_z
Li1 0.0000 0.0000 0.1400
Tm1 0.0000 0.0000 0.0000
Ag1 0.0000 0.0000 0.4370
Pb1 0.0000 0.0000 0.2664


# PBE CdSiTeC2, relaxed
# total DFT energy (no corrections)	-20.2	eV for the cell shown
# calculated volume	26.01	Å³ per atom
data_CdSiTeC2
_chemical_formula_sum 'Cd1 Si1 Te1 C2'
_cell_length_a 3.806
_cell_length_b 3.806
_cell_length_c 8.975
_cell_angle_alpha 90.00
_cell_angle_beta 90.00
_cell_angle_gamma 90.00
_space_group_name_H-M_alt 'P 4/m m m'
_space_group_IT_number 123
_space_group_name_Hall '-P 4 2'
loop_
_atom_site_label
_atom_site_fract_x
_atom_site_fract_y
_atom_site_fract_z
Cd1 0.000 0.000 0.000
Si1 0.000 0.000 0.500
Te1 0.500 0.500 0.000
C1 0.000 0.500 0.500